No. 1
Compound: La3SbTe2
Source: Alexandria via LeMat-Bulk
Functional: PBE
Structure: optimized geometry

Computed properties:
Formation energy (no corrections)   -1.5230 eV/atom
Total DFT energy (no corrections)   -68.7 eV/cell
Total magnetic moment   0.000 μB/atom
Fermi-level density of states   0.49 states/eV per atom
Polymorph energy (0 for the lowest one)   0 meV per atom

a b c (Å): 4.593 6.490 13.826
angles (deg): 90.00 90.00 90.00
Space group Immm (No. 71)
Inequivalent atoms, fractional coordinates:
La (0.000, 0.000, 0.000)
La (0.000, 0.000, 0.338)
Sb (0.000, 0.500, 0.000)
Te (0.000, 0.500, 0.332)


No. 2
Compound: LaSbTe2
Source: Alexandria via LeMat-Bulk
Functional: PBE
Structure: optimized geometry

Computed properties:
Formation energy (no corrections)   -0.6668 eV/atom
Total DFT energy (no corrections)   -36.0 eV/cell
Total magnetic moment   0.000 μB/atom
Fermi-level density of states   0.66 states/eV per atom

a b c (Å): 4.711 4.711 10.624
angles (deg): 90.00 90.00 90.00
Space group I4/mmm (No. 139)
Inequivalent atoms, fractional coordinates:
La (0.000, 0.000, 0.000)
Sb (0.000, 0.000, 0.500)
Te (0.000, 0.500, 0.250)


No. 3
Compound: La2SbTe5
Source: Alexandria via LeMat-Bulk
Functional: PBE
Structure: optimized geometry

Computed properties:
Formation energy (no corrections)   -0.8531 eV/atom
Total DFT energy (no corrections)   -146.0 eV/cell
Total magnetic moment   0.000 μB/atom
Fermi-level density of states   0.54 states/eV per atom

a b c (Å): 6.234 15.622 14.737
angles (deg): 90.00 90.00 90.00
Space group Cmcm (No. 63)
Inequivalent atoms, fractional coordinates:
La (0.000, 0.163, 0.073)
Sb (0.000, 0.164, 0.750)
Te (0.000, 0.040, 0.600)
Te (0.000, 0.289, 0.250)
Te (0.000, 0.298, 0.596)


No. 4
Compound: LaSb3Te
Source: Alexandria via LeMat-Bulk
Functional: PBE
Structure: optimized geometry

Computed properties:
Formation energy (no corrections)   0.1952 eV/atom
Total DFT energy (no corrections)   -19.5 eV/cell
Total magnetic moment   0.000 μB/atom
Fermi-level density of states   0.74 states/eV per atom
Polymorph energy (0 for the lowest one)   0 meV per atom

a b c (Å): 5.659 5.659 5.659
angles (deg): 90.00 90.00 90.00
Space group Pm-3m (No. 221)
Inequivalent atoms, fractional coordinates:
La (0.000, 0.000, 0.000)
Sb (0.000, 0.500, 0.500)
Te (0.500, 0.500, 0.500)


No. 5
Compound: LaSbTe2
Source: Alexandria via LeMat-Bulk
Functional: PBE
Structure: optimized geometry

Computed properties:
Formation energy (no corrections)   -0.7771 eV/atom
Total DFT energy (no corrections)   -18.4 eV/cell
Total magnetic moment   0.000 μB/atom
Fermi-level density of states   0.37 states/eV per atom

a b c (Å): 4.472 4.472 6.686
angles (deg): 90.00 90.00 90.00
Space group P4mm (No. 99)
Inequivalent atoms, fractional coordinates:
La (0.000, 0.000, 0.000)
Sb (0.500, 0.500, 0.400)
Te (0.000, 0.000, 0.467)
Te (0.500, 0.500, 0.875)


No. 6
Compound: LaSbTe2
Source: Alexandria via LeMat-Bulk
Functional: PBE
Structure: optimized geometry

Computed properties:
Formation energy (no corrections)   -0.7874 eV/atom
Total DFT energy (no corrections)   -18.5 eV/cell
Total magnetic moment   0.000 μB/atom
Fermi-level density of states   0.34 states/eV per atom

a b c (Å): 5.308 5.308 4.208
angles (deg): 90.00 90.00 90.00
Space group P4/mmm (No. 123)
Inequivalent atoms, fractional coordinates:
La (0.000, 0.000, 0.000)
Sb (0.500, 0.500, 0.000)
Te (0.000, 0.500, 0.500)


No. 7
Compound: LaSbTe2
Source: Alexandria via LeMat-Bulk
Functional: PBE
Structure: optimized geometry

Computed properties:
Formation energy (no corrections)   -0.4741 eV/atom
Total DFT energy (no corrections)   -51.7 eV/cell
Total magnetic moment   0.004 μB/atom
Fermi-level density of states   1.62 states/eV per atom

a b c (Å): 4.1849 4.1849 26.2746
angles (deg): 90.00 90.00 120.00
Space group R-3m (No. 166, hexagonal axes)
Inequivalent atoms, fractional coordinates:
La (0.0000, 0.0000, 0.0000)
Sb (0.0000, 0.0000, 0.5000)
Te (0.0000, 0.0000, 0.2491)


No. 8
Compound: La2SbTe2
Source: Alexandria via LeMat-Bulk
Functional: PBE
Structure: optimized geometry

Computed properties:
Formation energy (no corrections)   -1.2581 eV/atom
Total DFT energy (no corrections)   -53.1 eV/cell
Total magnetic moment   0.000 μB/atom
Fermi-level density of states   0.41 states/eV per atom
Polymorph energy (0 for the lowest one)   0 meV per atom

a b c (Å): 8.848 8.848 4.198
angles (deg): 90.00 90.00 90.00
Space group P4/mbm (No. 127)
Inequivalent atoms, fractional coordinates:
La (0.163, 0.337, 0.000)
Sb (0.000, 0.000, 0.000)
Te (0.139, 0.639, 0.500)